[1]
{"formula": "KRb2CdBr", "functional": "PBE-GGA", "state": "optimized geometry", "sg": "P4/mmm", "total_energy_ev_per_atom": -1.696, "magmom_total_mub_per_cell": 0.00, "e_form_raw_kj_per_mol_fu": -275.9, "cell": [[6.696, 0.000, 0.000], [0.000, 6.696, 0.000], [0.000, 0.000, 6.361]], "species": ["K", "Rb", "Rb", "Cd", "Br"], "fractional_positions": [[0.000, 0.000, 0.000], [0.000, 0.500, 0.500], [0.500, 0.000, 0.500], [0.500, 0.500, 0.000], [0.000, 0.000, 0.500]]}

[2]
{"formula": "K3Rb3CdBr8", "functional": "PBE-GGA", "state": "optimized geometry", "sg": "R-3m", "total_energy_ev_per_atom": -2.938, "magmom_total_mub_per_cell": 0.01, "e_form_raw_kj_per_mol_fu": -2274.3, "cell": [[4.742, 2.738, 7.932], [-4.742, 2.738, 7.932], [0.000, -5.476, 7.932]], "species": ["K", "K", "K", "Rb", "Rb", "Rb", "Cd", "Br", "Br", "Br", "Br", "Br", "Br", "Br", "Br"], "fractional_positions": [[0.000, 0.500, 0.500], [0.500, 0.000, 0.500], [0.500, 0.500, 0.000], [0.000, 0.000, 0.500], [0.000, 0.500, 0.000], [0.500, 0.000, 0.000], [0.000, 0.000, 0.000], [0.211, 0.211, 0.782], [0.211, 0.782, 0.211], [0.218, 0.789, 0.789], [0.254, 0.254, 0.254], [0.746, 0.746, 0.746], [0.782, 0.211, 0.211], [0.789, 0.218, 0.789], [0.789, 0.789, 0.218]]}

[3]
{"formula": "KRbCdBr4", "functional": "PBE-GGA", "state": "optimized geometry", "sg": "P2_1/m", "total_energy_ev_per_atom": -2.762, "magmom_total_mub_per_cell": 0.00, "e_form_raw_kj_per_mol_fu": -932.6, "cell": [[7.868, 0.000, 0.000], [0.000, 7.791, 0.000], [-2.876, 0.000, 9.038]], "species": ["K", "K", "Rb", "Rb", "Cd", "Cd", "Br", "Br", "Br", "Br", "Br", "Br", "Br", "Br"], "fractional_positions": [[0.221, 0.250, 0.057], [0.779, 0.750, 0.943], [0.252, 0.250, 0.559], [0.748, 0.750, 0.441], [0.239, 0.750, 0.814], [0.761, 0.250, 0.186], [0.006, 0.005, 0.756], [0.006, 0.495, 0.756], [0.430, 0.750, 0.630], [0.440, 0.750, 0.089], [0.560, 0.250, 0.911], [0.570, 0.250, 0.370], [0.994, 0.505, 0.244], [0.994, 0.995, 0.244]]}

[4]
{"formula": "K2RbCdBr", "functional": "PBE-GGA", "state": "optimized geometry", "sg": "P4/mmm", "total_energy_ev_per_atom": -1.721, "magmom_total_mub_per_cell": 0.00, "e_form_raw_kj_per_mol_fu": -275.2, "cell": [[6.360, 0.000, 0.000], [0.000, 6.360, 0.000], [0.000, 0.000, 6.689]], "species": ["K", "K", "Rb", "Cd", "Br"], "fractional_positions": [[0.000, 0.500, 0.000], [0.500, 0.000, 0.000], [0.000, 0.000, 0.500], [0.500, 0.500, 0.500], [0.000, 0.000, 0.000]]}